[1]
Entry from OQMD: crystalline DyScIn at its relaxed geometry (PBE).

a = 7.102 Å, b = 7.102 Å, c = 7.102 Å
α = 90.00°, β = 90.00°, γ = 90.00°
Space group F-43m (No. 216)
Symmetry-distinct sites (fractional):
Dy: 0.000 0.000 0.000
Sc: 0.000 0.000 0.500
In: 0.250 0.250 0.250

Values from the calculation:
- Offset from the most stable computed form: 0.309 eV per atom

***

[2]
Entry from OQMD: crystalline DyScIn4 at its relaxed geometry (PBE).

a = 4.575 Å, b = 4.542 Å, c = 13.905 Å
α = 90.00°, β = 90.00°, γ = 90.00°
Space group Amm2 (No. 38)
Symmetry-distinct sites (fractional):
Dy: 0.000 0.000 0.000
Sc: 0.000 0.000 0.689
In: 0.000 0.000 0.339
In: 0.500 0.000 0.170
In: 0.500 0.000 0.521
In: 0.500 0.000 0.839

Values from the calculation:
- Energy: -48.56 eV for the cell shown

***

[3]
Entry from OQMD: crystalline DyScIn at its relaxed geometry (PBE).

a = 5.1790 Å, b = 5.1790 Å, c = 6.5841 Å
α = 90.00°, β = 90.00°, γ = 120.00°
Space group P6_3/mmc (No. 194)
Symmetry-distinct sites (fractional):
Dy: 0.0000 0.0000 0.0000
Sc: 0.3333 0.6667 0.2500
In: 0.3333 0.6667 0.7500

Values from the calculation:
- Offset from the most stable computed form: 0.000 eV per atom

***

[4]
Entry from OQMD: crystalline DyTmSc2In2 at its relaxed geometry (PBE).

a = 5.1632 Å, b = 5.1632 Å, c = 6.5589 Å
α = 90.00°, β = 90.00°, γ = 120.00°
Space group P-3m1 (No. 164)
Symmetry-distinct sites (fractional):
Dy: 0.0000 0.0000 0.0000
Tm: 0.0000 0.0000 0.5000
Sc: 0.3333 0.6667 0.2518
In: 0.3333 0.6667 0.7488

Values from the calculation:
- Energy: -29.43 eV for the cell shown

***

[5]
Entry from OQMD: crystalline Dy2TmScIn2 at its relaxed geometry (PBE).

a = 5.2625 Å, b = 5.2625 Å, c = 6.6391 Å
α = 90.00°, β = 90.00°, γ = 120.00°
Space group P-6m2 (No. 187)
Symmetry-distinct sites (fractional):
Dy: 0.0000 0.0000 0.2440
Tm: 0.6667 0.3333 0.5000
Sc: 0.3333 0.6667 0.0000
In: 0.3333 0.6667 0.5000
In: 0.6667 0.3333 0.0000

Values from the calculation:
- Energy: -27.62 eV for the cell shown

***

[6]
Entry from OQMD: crystalline DyScZn2In2 at its relaxed geometry (PBE).

a = 4.5944 Å, b = 4.5944 Å, c = 7.0794 Å
α = 90.00°, β = 90.00°, γ = 120.00°
Space group P3m1 (No. 156)
Symmetry-distinct sites (fractional):
Dy: 0.0000 0.0000 0.0000
Sc: 0.0000 0.0000 0.5014
Zn: 0.3333 0.6667 0.2013
Zn: 0.6667 0.3333 0.6892
In: 0.3333 0.6667 0.7657
In: 0.6667 0.3333 0.2857

Values from the calculation:
- Energy: -21.48 eV for the cell shown

***

[7]
Entry from OQMD: crystalline DyZnInSe3 at its relaxed geometry (PBE).

a = 17.222 Å, b = 4.151 Å, c = 9.172 Å
α = 90.00°, β = 104.70°, γ = 90.00°
Space group C2/m (No. 12)
Symmetry-distinct sites (fractional):
Dy: 0.173 0.000 0.093
Zn: 0.011 0.500 0.214
In: 0.137 0.000 0.569
Se: 0.000 0.000 0.000
Se: 0.000 0.500 0.500
Se: 0.158 0.500 0.869
Se: 0.163 0.500 0.300

Values from the calculation:
- Offset from the most stable computed form: 0.133 eV per atom

***

[8]
Entry from OQMD: crystalline DyZnInSe3 at its relaxed geometry (PBE).

a = 14.647 Å, b = 4.113 Å, c = 11.074 Å
α = 90.00°, β = 90.00°, γ = 90.00°
Space group Pnma (No. 62)
Symmetry-distinct sites (fractional):
Dy: 0.026 0.250 0.157
Zn: 0.020 0.750 0.401
In: 0.243 0.250 0.465
Se: 0.082 0.750 0.615
Se: 0.100 0.250 0.921
Se: 0.144 0.750 0.249

Values from the calculation:
- Offset from the most stable computed form: 0.014 eV per atom

***

[9]
Entry from OQMD: crystalline DyZnInSe3 at its relaxed geometry (PBE).

a = 10.215 Å, b = 4.142 Å, c = 15.526 Å
α = 90.00°, β = 90.00°, γ = 90.00°
Space group Pnma (No. 62)
Symmetry-distinct sites (fractional):
Dy: 0.173 0.250 0.053
Zn: 0.175 0.750 0.863
In: 0.015 0.750 0.318
Se: 0.018 0.250 0.893
Se: 0.172 0.250 0.483
Se: 0.204 0.750 0.711

Values from the calculation:
- Offset from the most stable computed form: 0.070 eV per atom

***

[10]
Entry from OQMD: crystalline DyZnInSe3 at its relaxed geometry (PBE).

a = 11.717 Å, b = 4.241 Å, c = 12.392 Å
α = 90.00°, β = 90.00°, γ = 90.00°
Space group Pnma (No. 62)
Symmetry-distinct sites (fractional):
Dy: 0.022 0.250 0.177
Zn: 0.248 0.750 0.302
In: 0.169 0.250 0.504
Se: 0.040 0.750 0.338
Se: 0.098 0.250 0.937
Se: 0.226 0.750 0.693

Values from the calculation:
- Offset from the most stable computed form: 0.054 eV per atom

***

[11]
Entry from OQMD: crystalline DyZnInSe3 at its relaxed geometry (PBE).

a = 4.091 Å, b = 14.626 Å, c = 10.902 Å
α = 90.00°, β = 90.00°, γ = 90.00°
Space group Cmcm (No. 63)
Symmetry-distinct sites (fractional):
Dy: 0.000 0.000 0.000
Zn: 0.000 0.463 0.250
In: 0.000 0.248 0.750
Se: 0.000 0.067 0.250
Se: 0.000 0.370 0.063

Values from the calculation:
- Offset from the most stable computed form: 0.000 eV per atom

***

[12]
Entry from OQMD: crystalline DyZnInSe3 at its relaxed geometry (PBE).

a = 8.274 Å, b = 4.098 Å, c = 10.628 Å
α = 90.00°, β = 108.94°, γ = 90.00°
Space group P2_1/m (No. 11)
Symmetry-distinct sites (fractional):
Dy: 0.192 0.250 0.140
Zn: 0.425 0.750 0.391
In: 0.229 0.750 0.713
Se: 0.053 0.250 0.859
Se: 0.274 0.250 0.438
Se: 0.442 0.750 0.163

Values from the calculation:
- Offset from the most stable computed form: 0.019 eV per atom